VASP calculation (GGA-PBE) on a relaxed structure of HoTmBPb. Values from VASP.

Values from the calculation:
Space group   P-3m1 (164)
Magnetic moment   0.034 μB per cell
Calculated total energy   -5.079 eV per atom
ρ   9.5 g/cm³
Calculated volume   191.96 Å³/cell

Geometry as Quantum ESPRESSO input:
```
&SYSTEM
  ibrav = 0, nat = 8, ntyp = 4
/
ATOMIC_SPECIES
Ho 164.93 Ho.upf
Tm 168.93 Tm.upf
B 10.81 B.upf
Pb 207.20 Pb.upf
CELL_PARAMETERS angstrom
3.659 0.000 0.000
-1.830 3.169 0.000
0.000 0.000 16.552
ATOMIC_POSITIONS angstrom
Ho 0.000 2.113 1.493
Ho 1.830 1.056 15.059
Tm 0.000 2.113 6.829
Tm 1.830 1.056 9.723
B 0.000 0.000 0.000
B 0.000 0.000 8.276
Pb 0.000 2.113 12.383
Pb 1.830 1.056 4.169
```

VASP calculation (GGA-PBE) on a relaxed structure of Ac2CuPd6. Values from VASP.

Values from the calculation:
Space group   P-3m1 (164)
Magnetic moment   0.000 μB per cell
Calculated total energy   -5.428 eV per atom
ρ   10.6 g/cm³
Energy of formation from the pure elements   -0.65 eV/atom
Calculated volume   180.28 Å³/cell

Geometry as Quantum ESPRESSO input:
```
&SYSTEM
  ibrav = 0, nat = 9, ntyp = 3
/
ATOMIC_SPECIES
Ac 227.00 Ac.upf
Cu 63.55 Cu.upf
Pd 106.42 Pd.upf
CELL_PARAMETERS angstrom
5.903 0.000 0.000
-2.951 5.112 0.000
0.000 0.000 5.975
ATOMIC_POSITIONS angstrom
Ac 0.000 3.408 1.882
Ac 2.951 1.704 4.094
Cu 0.000 0.000 2.988
Pd 0.000 1.763 4.859
Pd -1.424 4.230 4.859
Pd 1.527 0.882 1.116
Pd 1.424 4.230 4.859
Pd 4.375 0.882 1.116
Pd 2.951 3.348 1.116
```

VASP calculation (GGA-PBE) on a relaxed structure of PmThB. Values from VASP.

Values from the calculation:
Space group   F-43m (216)
Magnetic moment   0.007 μB per cell
Calculated total energy   -6.125 eV per atom
Polymorph energy (0 for the lowest one)   0.000 eV/atom
ρ   9.2 g/cm³
Calculated volume   281.12 Å³/cell

Geometry as Quantum ESPRESSO input:
```
&SYSTEM
  ibrav = 0, nat = 12, ntyp = 3
/
ATOMIC_SPECIES
Pm 145.00 Pm.upf
Th 232.04 Th.upf
B 10.81 B.upf
CELL_PARAMETERS angstrom
6.551 0.000 0.000
0.000 6.551 0.000
0.000 0.000 6.551
ATOMIC_POSITIONS angstrom
Pm 0.000 0.000 0.000
Pm 0.000 3.275 3.275
Pm 3.275 0.000 3.275
Pm 3.275 3.275 0.000
Th 0.000 0.000 3.275
Th 0.000 3.275 0.000
Th 3.275 0.000 0.000
Th 3.275 3.275 3.275
B 1.638 1.638 1.638
B 1.638 4.913 4.913
B 4.913 1.638 4.913
B 4.913 4.913 1.638
```

What is the ρ in the first record?
9.5 g/cm³

The highest calculated volume belongs to which entry?
PmThB

Please write out number 2 again, unchanged.
VASP calculation (GGA-PBE) on a relaxed structure of Ac2CuPd6. Values from VASP.

Values from the calculation:
Space group   P-3m1 (164)
Magnetic moment   0.000 μB per cell
Calculated total energy   -5.428 eV per atom
ρ   10.6 g/cm³
Energy of formation from the pure elements   -0.65 eV/atom
Calculated volume   180.28 Å³/cell

Geometry as Quantum ESPRESSO input:
```
&SYSTEM
  ibrav = 0, nat = 9, ntyp = 3
/
ATOMIC_SPECIES
Ac 227.00 Ac.upf
Cu 63.55 Cu.upf
Pd 106.42 Pd.upf
CELL_PARAMETERS angstrom
5.903 0.000 0.000
-2.951 5.112 0.000
0.000 0.000 5.975
ATOMIC_POSITIONS angstrom
Ac 0.000 3.408 1.882
Ac 2.951 1.704 4.094
Cu 0.000 0.000 2.988
Pd 0.000 1.763 4.859
Pd -1.424 4.230 4.859
Pd 1.527 0.882 1.116
Pd 1.424 4.230 4.859
Pd 4.375 0.882 1.116
Pd 2.951 3.348 1.116
```